VASP calculation (SCAN) on Zr3ReC at its PBEsol-relaxed geometry.

Cell lengths 4.439, 4.439, 4.439 Å; angles 90.00, 90.00, 90.00 degrees
Space group Pm-3m (No. 221)
Symmetry-distinct sites (fractional):
Zr  0.000  0.000  0.500 x3
Re  0.500  0.500  0.500 x1
C  0.000  0.000  0.000 x1

- Energy of formation: -1.165 eV/f.u.